Ga9PbAu2 | GGA-PBE | relaxed

## Properties
Energy relative to the elements   -44 meV/atom
Final energy   -3.170 eV/atom
Space group   I4_1/amd (141)

The structure in extended XYZ format:
```
24
Lattice="6.005 0.000 2.765 3.002 8.520 1.382 -0.560 0.000 9.121" Properties=species:S:1:pos:R:3 pbc="T T T"
Au 5.865 2.130 5.045
Ga 4.617 6.826 6.256
Au 5.585 2.130 9.605
Ga 5.725 4.260 7.325
Ga 1.253 1.694 4.707
Ga 4.192 1.694 7.179
Ga 2.113 3.752 2.838
Au 7.366 6.390 5.736
Ga 7.339 5.954 12.199
Ga 5.477 4.768 4.387
Ga 3.612 0.508 4.487
Ga 1.833 0.508 7.399
Ga 0.000 0.000 0.000
Au 4.083 6.390 8.914
Ga 4.472 2.566 2.618
Ga 3.331 3.752 9.048
Ga 3.250 8.012 4.321
Ga 0.972 2.566 9.268
Pb 3.002 0.000 1.382
Ga 6.832 6.826 8.394
Ga 4.110 5.954 2.452
Ga 8.199 8.012 10.330
Pb 2.722 4.260 5.943
Ga 5.972 4.768 10.264
```